Entry 1:
The following is a PBE calculation of an optimized crystal structure of Ca8AuN4, from Alexandria via LeMat-Bulk.

uncorrected formation energy = -0.677 eV per atom
E = -4.72 eV/atom

Cell: 10.6929 10.6929 10.6929 Å, 90.00 90.00 90.00°
Space group F-43m (No. 216)
Unique sites:
Ca 0.1027 0.1027 0.3973 [16 per cell]
Ca 0.1419 0.1419 0.8581 [16 per cell]
Au 0.2500 0.2500 0.2500 [4 per cell]
N 0.1260 0.1260 0.6260 [16 per cell]



Entry 2:
The following is a PBE calculation of an optimized crystal structure of Ca6AuN3, from Alexandria via LeMat-Bulk.

uncorrected formation energy = -0.711 eV per atom
E = -4.74 eV/atom

Cell: 10.2504 3.5884 11.8663 Å, 90.00 101.78 90.00°
Space group P2_1/m (No. 11)
Unique sites:
Ca 0.0199 0.2500 0.1147 [2 per cell]
Ca 0.1071 0.7500 0.4534 [2 per cell]
Ca 0.1634 0.2500 0.7468 [2 per cell]
Ca 0.2966 0.7500 0.0105 [2 per cell]
Ca 0.3034 0.2500 0.3130 [2 per cell]
Ca 0.4213 0.2500 0.5834 [2 per cell]
Au 0.4558 0.7500 0.8085 [2 per cell]
N 0.0233 0.7500 0.6477 [2 per cell]
N 0.1348 0.2500 0.9453 [2 per cell]
N 0.3474 0.7500 0.4453 [2 per cell]